A relaxed YNb2NO5 crystal, computed with PBE. Values from VASP.

```
&SYSTEM
  ibrav = 0, nat = 36, ntyp = 4
/
ATOMIC_SPECIES
Y 88.91 Y.upf
Nb 92.91 Nb.upf
N 14.01 N.upf
O 16.00 O.upf
ATOMIC_POSITIONS crystal
Y 0.0128 0.0000 0.2517
Y 0.4793 0.5040 0.2501
Y 0.5207 0.0040 0.7499
Y 0.9872 0.5000 0.7483
Nb 0.0673 0.9471 0.9162
Nb 0.0760 0.0791 0.5859
Nb 0.4393 0.5540 0.5868
Nb 0.4525 0.4321 0.9126
Nb 0.5475 0.9321 0.0874
Nb 0.5607 0.0540 0.4132
Nb 0.9240 0.5791 0.4141
Nb 0.9327 0.4471 0.0838
N 0.3167 0.2819 0.6568
N 0.3272 0.8374 0.1650
N 0.6728 0.3374 0.8350
N 0.6833 0.7819 0.3432
O 0.1021 0.6317 0.9939
O 0.1077 0.3954 0.5081
O 0.1511 0.3385 0.1658
O 0.1593 0.6703 0.3356
O 0.1902 0.2254 0.8414
O 0.1897 0.7833 0.6571
O 0.3163 0.7287 0.8443
O 0.3333 0.1754 0.3345
O 0.3831 0.8946 0.5077
O 0.3851 0.1068 0.9879
O 0.6149 0.6068 0.0121
O 0.6169 0.3946 0.4923
O 0.6667 0.6754 0.6655
O 0.6837 0.2287 0.1557
O 0.8103 0.2833 0.3429
O 0.8098 0.7254 0.1586
O 0.8407 0.1703 0.6644
O 0.8489 0.8385 0.8342
O 0.8923 0.8954 0.4919
O 0.8979 0.1317 0.0061
CELL_PARAMETERS angstrom
5.7567 0.0000 0.0000
0.0000 5.3254 0.0000
-0.0187 0.0000 15.0593
```

Calculated values
* VASP energy: -9.17 eV/atom
* space group: No. 4
* total moment: 0.000 μB per formula unit

=====

A relaxed Li2ZnCl crystal, computed with PBE. Values from VASP.

```
&SYSTEM
  ibrav = 0, nat = 8, ntyp = 3
/
ATOMIC_SPECIES
Li 6.94 Li.upf
Zn 65.41 Zn.upf
Cl 35.45 Cl.upf
ATOMIC_POSITIONS crystal
Li 0.2500 0.2500 0.0000
Li 0.2500 0.7500 0.0000
Li 0.7500 0.2500 0.0000
Li 0.7500 0.7500 0.0000
Zn 0.0000 0.0000 0.5000
Zn 0.5000 0.5000 0.5000
Cl 0.0000 0.5000 0.5000
Cl 0.5000 0.0000 0.5000
CELL_PARAMETERS angstrom
6.4586 0.0000 0.0000
0.0000 6.4781 0.0000
0.0000 0.0000 3.4843
```

Calculated values
* VASP energy: -2.30 eV/atom
* space group: No. 65
* total moment: 0.000 μB per formula unit